Record 1
The following is a PBE calculation of ReNiBP after structural relaxation, from Alexandria via LeMat-Bulk.

The structure in POSCAR format:
```
ReNiBP
1.0
3.175 0.000 0.000
-1.587 2.750 0.000
0.000 0.000 5.317
Re Ni B P
1 1 1 1
Direct
0.000 0.000 0.000 Re
0.000 0.000 0.524 Ni
0.333 0.667 0.745 B
0.333 0.667 0.294 P
```

The formation energy is -0.17 eV/atom. As for the space-group type: No. 156. As for the size of the total moment: 0.0 Bohr magnetons per cell. The energy above the lowest structure with this stoichiometry is 0 meV/atom.

---

Record 2
The following is a PBE calculation of Ho12In5Hg2 after structural relaxation, from Alexandria via LeMat-Bulk.

The structure in POSCAR format:
```
Ho12In5Hg2
1.0
8.613 -3.582 0.000
8.613 3.582 0.000
-1.237 0.000 9.006
Ho In Hg
12 5 2
Direct
0.007 0.007 0.189 Ho
0.096 0.602 0.991 Ho
0.099 0.581 0.580 Ho
0.398 0.904 0.009 Ho
0.419 0.901 0.420 Ho
0.456 0.456 0.305 Ho
0.544 0.544 0.695 Ho
0.581 0.099 0.580 Ho
0.602 0.096 0.991 Ho
0.901 0.419 0.420 Ho
0.904 0.398 0.009 Ho
0.993 0.993 0.811 Ho
0.200 0.200 0.736 In
0.272 0.272 0.252 In
0.500 0.500 0.000 In
0.728 0.728 0.748 In
0.800 0.800 0.264 In
0.189 0.811 0.500 Hg
0.811 0.189 0.500 Hg
```

The formation energy is -0.19 eV/atom. As for the space-group type: No. 12. As for the size of the total moment: 0.0 Bohr magnetons per cell.

---

Record 3
The following is a PBE calculation of MnP2Ru after structural relaxation, from Alexandria via LeMat-Bulk.

The structure in POSCAR format:
```
MnP2Ru
1.0
1.420 0.820 7.041
-1.420 0.820 7.041
0.000 -1.639 7.041
Mn P Ru
1 2 1
Direct
0.000 0.000 0.000 Mn
0.254 0.254 0.254 P
0.746 0.746 0.746 P
0.500 0.500 0.500 Ru
```

The formation energy is -0.21 eV/atom. As for the space-group type: No. 166. As for the size of the total moment: 0.0 Bohr magnetons per cell. The energy above the lowest structure with this stoichiometry is 196 meV/atom.

---

Record 4
The following is a PBE calculation of Mg2MoIr after structural relaxation, from Alexandria via LeMat-Bulk.

The structure in POSCAR format:
```
Mg2MoIr
1.0
-1.928 1.928 4.413
1.928 -1.928 4.413
1.928 1.928 -4.413
Mg Mo Ir
2 1 1
Direct
0.250 0.750 0.500 Mg
0.750 0.250 0.500 Mg
0.000 0.000 0.000 Mo
0.500 0.500 0.000 Ir
```

The formation energy is 0.13 eV/atom. As for the space-group type: No. 139. As for the size of the total moment: 0.0 Bohr magnetons per cell. The energy above the lowest structure with this stoichiometry is 246 meV/atom.

---

Record 5
The following is a PBE calculation of SbTe2Pt after structural relaxation, from Alexandria via LeMat-Bulk.

The structure in POSCAR format:
```
SbTe2Pt
1.0
2.028 1.171 7.346
-2.028 1.171 7.346
0.000 -2.341 7.346
Sb Te Pt
1 2 1
Direct
0.000 0.000 0.000 Sb
0.237 0.237 0.237 Te
0.463 0.463 0.463 Te
0.732 0.732 0.732 Pt
```

As for the space-group type: No. 160. As for the size of the total moment: 0.0 Bohr magnetons per cell. For the uncorrected formation energy, the calculation gives -0.20 eV per atom.

---

Record 6
The following is a PBE calculation of SrNiTe after structural relaxation, from Alexandria via LeMat-Bulk.

The structure in POSCAR format:
```
SrNiTe
1.0
2.185 1.261 9.671
-2.185 1.261 9.671
0.000 -2.523 9.671
Sr Ni Te
2 2 2
Direct
0.000 0.000 0.000 Sr
0.146 0.146 0.146 Sr
0.562 0.562 0.562 Ni
0.891 0.891 0.891 Ni
0.256 0.256 0.256 Te
0.737 0.737 0.737 Te
```

As for the space-group type: No. 160. As for the size of the total moment: 0.0 Bohr magnetons per cell. For the uncorrected formation energy, the calculation gives -0.76 eV per atom.

---

Record 7
The following is a PBE calculation of ZnCu2Sb after structural relaxation, from Alexandria via LeMat-Bulk.

The structure in POSCAR format:
```
ZnCu2Sb
1.0
2.855 -2.860 0.000
2.855 2.860 0.000
0.000 0.000 3.929
Zn Cu Sb
1 2 1
Direct
0.000 0.000 0.000 Zn
0.000 0.500 0.500 Cu
0.500 0.000 0.500 Cu
0.500 0.500 0.000 Sb
```

As for the space-group type: No. 65. As for the size of the total moment: 0.0 Bohr magnetons per cell. The energy above the lowest structure with this stoichiometry is 36 meV/atom. For the uncorrected formation energy, the calculation gives 0.13 eV per atom.

---

Record 8
The following is a PBE calculation of TlAuI2F after structural relaxation, from Alexandria via LeMat-Bulk.

The structure in POSCAR format:
```
TlAuI2F
1.0
5.784 0.000 0.000
0.000 5.784 0.000
0.000 0.000 4.466
Tl Au I F
1 1 2 1
Direct
0.000 0.000 0.000 Tl
0.500 0.500 0.500 Au
0.000 0.500 0.500 I
0.500 0.000 0.500 I
0.500 0.500 0.000 F
```

As for the space-group type: No. 123. As for the size of the total moment: 0.0 Bohr magnetons per cell. The energy above the lowest structure with this stoichiometry is 0 meV/atom. For the uncorrected formation energy, the calculation gives -0.57 eV per atom.

---

Record 9
The following is a PBE calculation of OsNClF2 after structural relaxation, from Alexandria via LeMat-Bulk.

The structure in POSCAR format:
```
OsNClF2
1.0
4.109 0.000 0.000
0.000 4.109 0.000
0.000 0.000 3.804
Os N Cl F
1 1 1 2
Direct
0.000 0.000 0.000 Os
0.000 0.000 0.500 N
0.500 0.500 0.500 Cl
0.000 0.500 0.000 F
0.500 0.000 0.000 F
```

As for the space-group type: No. 123. As for the size of the total moment: 0.0 Bohr magnetons per cell. The energy above the lowest structure with this stoichiometry is 0 meV/atom. For the uncorrected formation energy, the calculation gives -0.14 eV per atom.

---

Record 10
The following is a PBE calculation of RbLaICl2 after structural relaxation, from Alexandria via LeMat-Bulk.

The structure in POSCAR format:
```
RbLaICl2
1.0
5.640 0.000 0.000
0.000 5.640 0.000
0.000 0.000 6.416
Rb La I Cl
1 1 1 2
Direct
0.000 0.000 0.000 Rb
0.500 0.500 0.500 La
0.500 0.500 0.000 I
0.000 0.500 0.500 Cl
0.500 0.000 0.500 Cl
```

As for the space-group type: No. 123. As for the size of the total moment: 0.7 Bohr magnetons per cell. For the uncorrected formation energy, the calculation gives -1.72 eV per atom.

---

Record 11
The following is a PBE calculation of Nd5DyTl3 after structural relaxation, from Alexandria via LeMat-Bulk.

The structure in POSCAR format:
```
Nd5DyTl3
1.0
9.622 0.000 0.000
-4.811 8.333 0.000
0.000 0.000 6.918
Nd Dy Tl
10 2 6
Direct
0.000 0.338 0.250 Nd
0.000 0.662 0.750 Nd
0.333 0.667 0.000 Nd
0.333 0.667 0.500 Nd
0.338 0.000 0.250 Nd
0.338 0.338 0.750 Nd
0.662 0.000 0.750 Nd
0.662 0.662 0.250 Nd
0.667 0.333 0.000 Nd
0.667 0.333 0.500 Nd
0.000 0.000 0.000 Dy
0.000 0.000 0.500 Dy
0.000 0.325 0.750 Tl
0.000 0.675 0.250 Tl
0.325 0.000 0.750 Tl
0.325 0.325 0.250 Tl
0.675 0.000 0.250 Tl
0.675 0.675 0.750 Tl
```

The formation energy is -0.26 eV/atom. As for the space-group type: No. 193. As for the size of the total moment: 3.5 Bohr magnetons per cell.

---

Record 12
The following is a PBE calculation of Th2AlGa6 after structural relaxation, from Alexandria via LeMat-Bulk.

The structure in POSCAR format:
```
Th2AlGa6
1.0
6.100 0.000 0.000
-3.050 5.282 0.000
0.000 0.000 5.640
Th Al Ga
2 1 6
Direct
0.333 0.667 0.151 Th
0.667 0.333 0.849 Th
0.000 0.000 0.000 Al
0.181 0.361 0.667 Ga
0.181 0.819 0.667 Ga
0.361 0.181 0.333 Ga
0.639 0.819 0.667 Ga
0.819 0.181 0.333 Ga
0.819 0.639 0.333 Ga
```

The formation energy is -0.45 eV/atom. As for the space-group type: No. 164. As for the size of the total moment: 0.0 Bohr magnetons per cell.

---

Which of these has the highest size of the total moment?
Nd5DyTl3

---

What is the size of the total moment in the fourth record?
0.0 Bohr magnetons per cell